DFT (SCAN) results for a PBEsol-optimized structure of MgSi2Pt.

Output
E_form (uncorrected) = -0.182 eV/atom

a = 3.1991 Å, b = 3.1991 Å, c = 22.8613 Å
α = 90.00°, β = 90.00°, γ = 120.00°
Closest atoms and distances in Å follow each position.
Fractional positions:
Mg 0.0000 0.0000 0.0000  6 Si 2.84
Mg 0.3333 0.6667 0.6667  6 Si 2.84
Mg 0.6667 0.3333 0.3333  6 Si 2.84
Si 0.0000 0.0000 0.2392  3 Pt 2.48
Si 0.0000 0.0000 0.7608  3 Pt 2.48
Si 0.3333 0.6667 0.4275  3 Pt 2.48
Si 0.3333 0.6667 0.9058  3 Pt 2.48
Si 0.6667 0.3333 0.0942  3 Pt 2.48
Si 0.6667 0.3333 0.5725  3 Pt 2.48
Pt 0.0000 0.0000 0.5000  6 Si 2.48
Pt 0.3333 0.6667 0.1667  6 Si 2.48
Pt 0.6667 0.3333 0.8333  6 Si 2.48